Entry i
DFT (GGA-PBE) results for CsRePd after structural relaxation.

Properties
total moment = 3.80 μB/f.u.

Lattice parameters (Å, degrees): 6.9301 6.9301 6.9301 90.00 90.00 90.00
Space group F-43m (No. 216)
Unique sites:
Cs1 0.0000 0.0000 0.0000
Re1 0.2500 0.2500 0.2500
Pd1 0.2500 0.2500 0.7500



Entry ii
DFT (GGA-PBE) results for CsRePd after structural relaxation.

Properties
total moment = 3.82 μB/f.u.

Lattice parameters (Å, degrees): 6.9205 6.9205 6.9205 90.00 90.00 90.00
Space group F-43m (No. 216)
Unique sites:
Cs1 0.0000 0.0000 0.0000
Re1 0.2500 0.2500 0.2500
Pd1 0.0000 0.0000 0.5000



entry ii wins, 557 meV/atom ahead of the next structure.